# CdCuN3, relaxed, DFT PBE-GGA
# * energy relative to the elements, uncorrected: 2.81 eV/atom
data_CdCuN3
_cell_length_a 4.1168
_cell_length_b 4.1168
_cell_length_c 4.1168
_cell_angle_alpha 90.00
_cell_angle_beta 90.00
_cell_angle_gamma 90.00
_space_group_name_H-M_alt 'P m -3 m'
_space_group_IT_number 221
_space_group_name_Hall '-P 4 2 3'
loop_
_atom_site_label
_atom_site_type_symbol
_atom_site_fract_x
_atom_site_fract_y
_atom_site_fract_z
_atom_site_occupancy
Cd1 Cd 0.0000 0.0000 0.0000 1
Cu1 Cu 0.5000 0.5000 0.5000 1
N1 N 0.0000 0.0000 0.5000 1


# CdCu2N, relaxed, DFT PBE-GGA
# * energy relative to the elements, uncorrected: 1.03 eV/atom
# * offset from the most stable computed form: 0.6374 eV/atom
data_CdCu2N
_cell_length_a 5.9411
_cell_length_b 5.9411
_cell_length_c 5.9411
_cell_angle_alpha 90.00
_cell_angle_beta 90.00
_cell_angle_gamma 90.00
_space_group_name_H-M_alt 'F m -3 m'
_space_group_IT_number 225
_space_group_name_Hall '-F 4 2 3'
loop_
_atom_site_label
_atom_site_type_symbol
_atom_site_fract_x
_atom_site_fract_y
_atom_site_fract_z
_atom_site_occupancy
Cd1 Cd 0.0000 0.0000 0.0000 1
Cu1 Cu 0.2500 0.2500 0.2500 1
N1 N 0.0000 0.0000 0.5000 1


# Cd2CuN2, relaxed, DFT PBE-GGA
# * energy relative to the elements, uncorrected: 0.67 eV/atom
data_Cd2CuN2
_cell_length_a 4.5902
_cell_length_b 4.5910
_cell_length_c 7.9729
_cell_angle_alpha 90.00
_cell_angle_beta 90.52
_cell_angle_gamma 90.00
_space_group_name_H-M_alt 'C 1 2/m 1'
_space_group_IT_number 12
loop_
_space_group_symop_operation_xyz
'x,y,z'
'-x,-y,-z'
'-x,y,-z'
'x,-y,z'
'x+1/2,y+1/2,z'
'-x+1/2,-y+1/2,-z'
'-x+1/2,y+1/2,-z'
'x+1/2,-y+1/2,z'
loop_
_atom_site_label
_atom_site_type_symbol
_atom_site_fract_x
_atom_site_fract_y
_atom_site_fract_z
_atom_site_occupancy
Cd1 Cd 0.0029 0.0000 0.2600 1
Cu1 Cu 0.0000 0.5000 0.0000 1
N1 N 0.0025 0.5000 0.2343 1


# CdCuN3, relaxed, DFT PBE-GGA
# * energy relative to the elements, uncorrected: 1.89 eV/atom
data_CdCuN3
_cell_length_a 3.8163
_cell_length_b 3.8163
_cell_length_c 3.8163
_cell_angle_alpha 90.00
_cell_angle_beta 90.00
_cell_angle_gamma 90.00
_space_group_name_H-M_alt 'P m -3 m'
_space_group_IT_number 221
_space_group_name_Hall '-P 4 2 3'
loop_
_atom_site_label
_atom_site_type_symbol
_atom_site_fract_x
_atom_site_fract_y
_atom_site_fract_z
_atom_site_occupancy
Cd1 Cd 0.0000 0.0000 0.0000 1
Cu1 Cu 0.5000 0.5000 0.5000 1
N1 N 0.0000 0.5000 0.5000 1


Among the records above, which one has the highest energy relative to the elements, uncorrected? number 1


Please write out number 2 again, unchanged.
# CdCu2N, relaxed, DFT PBE-GGA
# * energy relative to the elements, uncorrected: 1.03 eV/atom
# * offset from the most stable computed form: 0.6374 eV/atom
data_CdCu2N
_cell_length_a 5.9411
_cell_length_b 5.9411
_cell_length_c 5.9411
_cell_angle_alpha 90.00
_cell_angle_beta 90.00
_cell_angle_gamma 90.00
_space_group_name_H-M_alt 'F m -3 m'
_space_group_IT_number 225
_space_group_name_Hall '-F 4 2 3'
loop_
_atom_site_label
_atom_site_type_symbol
_atom_site_fract_x
_atom_site_fract_y
_atom_site_fract_z
_atom_site_occupancy
Cd1 Cd 0.0000 0.0000 0.0000 1
Cu1 Cu 0.2500 0.2500 0.2500 1
N1 N 0.0000 0.0000 0.5000 1


Which formula does entry 2 have? CdCu2N


Look up the energy relative to the elements, uncorrected of the third one. 0.67 eV/atom